Record 1
An optimized crystal structure of YNbO2F. Source: the Alexandria database, functional GGA-PBE.

Calculated values
Density of states at the Fermi level (states/eV/f.u.): 3.5
Formation energy from raw total energies (meV per atom): -1662
Symmetry: P4/mmm, No. 123
Energy (eV/f.u.): -36.6

Lattice parameters (Å, degrees): 4.4158 4.4158 4.1994 90.00 90.00 90.00
With the nearest neighbours (Å) after each atom.
Atoms (fractional coordinates):
F (0.0000, 0.0000, 0.5000)  2 Y 2.10
O (0.0000, 0.5000, 0.0000)  2 Y 2.21
O (0.5000, 0.0000, 0.0000)  2 Y 2.21
Nb (0.5000, 0.5000, 0.5000)  8 O 3.05, 4 F 3.12
Y (0.0000, 0.0000, 0.0000)  2 F 2.10, 4 O 2.21



Record 2
An optimized crystal structure of YNbO2F. Source: the Alexandria database, functional GGA-PBE.

Calculated values
Density of states at the Fermi level (states/eV/f.u.): 3.8
Formation energy from raw total energies (meV per atom): -2040
Symmetry: P4/mmm, No. 123
Energy (eV/f.u.): -38.5

Lattice parameters (Å, degrees): 4.0874 4.0874 4.2558 90.00 90.00 90.00
With the nearest neighbours (Å) after each atom.
Atoms (fractional coordinates):
Y (0.5000, 0.5000, 0.5000)  4 F 2.89, 8 O 2.95
O (0.5000, 0.0000, 0.0000)  2 Nb 2.04
O (0.0000, 0.5000, 0.0000)  2 Nb 2.04
Nb (0.0000, 0.0000, 0.0000)  4 O 2.04, 2 F 2.13
F (0.0000, 0.0000, 0.5000)  2 Nb 2.13



Record 3
An optimized crystal structure of NbZnOF2. Source: the Alexandria database, functional GGA-PBE.

Calculated values
Excess energy over the best structure of this formula in the dataset (meV per atom): 728
Density of states at the Fermi level (states/eV/f.u.): 3.7
Formation energy from raw total energies (meV per atom): -1033
Symmetry: P4/mmm, No. 123
Energy (eV/f.u.): -25.2

Lattice parameters (Å, degrees): 3.8609 3.8609 4.3291 90.00 90.00 90.00
With the nearest neighbours (Å) after each atom.
Atoms (fractional coordinates):
O (0.0000, 0.0000, 0.5000)  2 Zn 2.16
Nb (0.5000, 0.5000, 0.5000)  4 O 2.73, 8 F 2.90
F (0.0000, 0.5000, 0.0000)  2 Zn 1.93
F (0.5000, 0.0000, 0.0000)  2 Zn 1.93
Zn (0.0000, 0.0000, 0.0000)  4 F 1.93



Record 4
An optimized crystal structure of NbZnOF2. Source: the Alexandria database, functional GGA-PBE.

Calculated values
Excess energy over the best structure of this formula in the dataset (meV per atom): 0
Density of states at the Fermi level (states/eV/f.u.): 2.4
Formation energy from raw total energies (meV per atom): -1760
Symmetry: P4/mmm, No. 123
Energy (eV/f.u.): -28.8

Lattice parameters (Å, degrees): 4.3374 4.3374 3.9418 90.00 90.00 90.00
With the nearest neighbours (Å) after each atom.
Atoms (fractional coordinates):
Zn (0.5000, 0.5000, 0.5000)  8 F 2.93, 4 O 3.07
Nb (0.0000, 0.0000, 0.0000)  2 O 1.97, 4 F 2.17
F (0.5000, 0.0000, 0.0000)  2 Nb 2.17
F (0.0000, 0.5000, 0.0000)  2 Nb 2.17
O (0.0000, 0.0000, 0.5000)  2 Nb 1.97



Record 5
An optimized crystal structure of ZrNbOF2. Source: the Alexandria database, functional GGA-PBE.

Calculated values
Excess energy over the best structure of this formula in the dataset (meV per atom): 0
Density of states at the Fermi level (states/eV/f.u.): 3.3
Formation energy from raw total energies (meV per atom): -1537
Symmetry: P4/mmm, No. 123
Energy (eV/f.u.): -35.0

Lattice parameters (Å, degrees): 4.3468 4.3468 4.1573 90.00 90.00 90.00
With the nearest neighbours (Å) after each atom.
Atoms (fractional coordinates):
F (0.0000, 0.5000, 0.0000)  2 Zr 2.17
F (0.5000, 0.0000, 0.0000)  2 Zr 2.17
Zr (0.0000, 0.0000, 0.0000)  2 O 2.08, 4 F 2.17
O (0.0000, 0.0000, 0.5000)  2 Zr 2.08
Nb (0.5000, 0.5000, 0.5000)  8 F 3.01, 4 O 3.07



Record 6
An optimized crystal structure of ZrNbOF2. Source: the Alexandria database, functional GGA-PBE.

Calculated values
Excess energy over the best structure of this formula in the dataset (meV per atom): 224
Density of states at the Fermi level (states/eV/f.u.): 4.4
Formation energy from raw total energies (meV per atom): -1313
Symmetry: P4/mmm, No. 123
Energy (eV/f.u.): -33.9

Lattice parameters (Å, degrees): 4.3496 4.3496 4.0197 90.00 90.00 90.00
With the nearest neighbours (Å) after each atom.
Atoms (fractional coordinates):
Zr (0.5000, 0.5000, 0.5000)  8 F 2.96, 4 O 3.08
F (0.5000, 0.0000, 0.0000)  2 Nb 2.17
F (0.0000, 0.5000, 0.0000)  2 Nb 2.17
Nb (0.0000, 0.0000, 0.0000)  2 O 2.01, 4 F 2.17
O (0.0000, 0.0000, 0.5000)  2 Nb 2.01



Record 7
An optimized crystal structure of Nb2OsF. Source: the Alexandria database, functional GGA-PBE.

Calculated values
Excess energy over the best structure of this formula in the dataset (meV per atom): 323
Density of states at the Fermi level (states/eV/f.u.): 2.8
Formation energy from raw total energies (meV per atom): 55
Symmetry: I-42d, No. 122
Energy (eV/f.u.): -33.0

Lattice parameters (Å, degrees): 4.7726 4.7726 7.3162 70.96 70.96 90.00
With the nearest neighbours (Å) after each atom.
Atoms (fractional coordinates):
Nb (0.8750, 0.8125, 0.7500)  2 F 2.20
Nb (0.5625, 0.1250, 0.2500)  2 F 2.20
Nb (0.1875, 0.6250, 0.2500)  2 F 2.20
Nb (0.3750, 0.4375, 0.7500)  2 F 2.20
F (0.2500, 0.7500, 0.5000)  4 Nb 2.20
F (0.5000, 0.5000, 0.0000)  4 Nb 2.20
Os (0.7500, 0.2500, 0.5000)  4 Nb 2.51
Os (0.0000, 0.0000, 0.0000)  4 Nb 2.51



Record 8
An optimized crystal structure of NbOsF2. Source: the Alexandria database, functional GGA-PBE.

Calculated values
Excess energy over the best structure of this formula in the dataset (meV per atom): 1119
Density of states at the Fermi level (states/eV/f.u.): 2.8
Formation energy from raw total energies (meV per atom): 217
Symmetry: Fm-3m, No. 225
Energy (eV/f.u.): -24.2

Lattice parameters (Å, degrees): 4.2356 4.2356 4.2356 60.00 60.00 60.00
With the nearest neighbours (Å) after each atom.
Atoms (fractional coordinates):
Nb (0.0000, 0.0000, 0.0000)  8 F 2.59
F (0.2500, 0.2500, 0.2500)  4 Os 2.59, 4 Nb 2.59
F (0.7500, 0.7500, 0.7500)  4 Os 2.59, 4 Nb 2.59
Os (0.5000, 0.5000, 0.5000)  8 F 2.59



Record 9
An optimized crystal structure of NbOsF2. Source: the Alexandria database, functional GGA-PBE.

Calculated values
Excess energy over the best structure of this formula in the dataset (meV per atom): 0
Density of states at the Fermi level (states/eV/f.u.): 2.5
Formation energy from raw total energies (meV per atom): -902
Symmetry: R-3m, No. 166
Energy (eV/f.u.): -28.7

Lattice parameters (Å, degrees): 10.7313 10.7313 10.7313 14.54 14.54 14.54
With the nearest neighbours (Å) after each atom.
Atoms (fractional coordinates):
Os (0.0000, 0.0000, 0.0000)  6 Os 2.72
Nb (0.5000, 0.5000, 0.5000)  6 F 2.20
F (0.1183, 0.1183, 0.1183)  3 Nb 2.20
F (0.8817, 0.8817, 0.8817)  3 Nb 2.20



Record 10
An optimized crystal structure of NbOsF2. Source: the Alexandria database, functional GGA-PBE.

Calculated values
Excess energy over the best structure of this formula in the dataset (meV per atom): 378
Density of states at the Fermi level (states/eV/f.u.): 2.7
Formation energy from raw total energies (meV per atom): -524
Symmetry: I-42d, No. 122
Energy (eV/f.u.): -27.1

Lattice parameters (Å, degrees): 3.6807 3.6807 8.4313 77.39 77.39 90.00
With the nearest neighbours (Å) after each atom.
Atoms (fractional coordinates):
F (0.8750, 0.8597, 0.7500)  2 Nb 2.37, 2 Os 2.41, 2 F 2.52
F (0.6097, 0.1250, 0.2500)  2 Nb 2.37, 2 Os 2.41, 2 F 2.52
F (0.1403, 0.6250, 0.2500)  2 Nb 2.37, 2 Os 2.41, 2 F 2.52
F (0.3750, 0.3903, 0.7500)  2 Nb 2.37, 2 Os 2.41, 2 F 2.52
Os (0.7500, 0.2500, 0.5000)  4 F 2.41, 4 Nb 2.60
Os (0.0000, 0.0000, 0.0000)  4 F 2.41, 4 Nb 2.60
Nb (0.2500, 0.7500, 0.5000)  4 F 2.37, 4 Os 2.60
Nb (0.5000, 0.5000, 0.0000)  4 F 2.37, 4 Os 2.60



Record 11
An optimized crystal structure of Nb3OsF. Source: the Alexandria database, functional GGA-PBE.

Calculated values
Excess energy over the best structure of this formula in the dataset (meV per atom): 931
Density of states at the Fermi level (states/eV/f.u.): 4.0
Formation energy from raw total energies (meV per atom): 999
Symmetry: Pm-3m, No. 221
Energy (eV/f.u.): -38.3

Lattice parameters (Å, degrees): 4.8875 4.8875 4.8875 90.00 90.00 90.00
With the nearest neighbours (Å) after each atom.
Atoms (fractional coordinates):
Os (0.0000, 0.0000, 0.0000)  6 Nb 2.44
Nb (0.0000, 0.0000, 0.5000)  2 Os 2.44
Nb (0.0000, 0.5000, 0.0000)  2 Os 2.44
Nb (0.5000, 0.0000, 0.0000)  2 Os 2.44
F (0.5000, 0.5000, 0.5000)  12 Nb 3.46



Record 12
An optimized crystal structure of Nb3OsF. Source: the Alexandria database, functional GGA-PBE.

Calculated values
Excess energy over the best structure of this formula in the dataset (meV per atom): 0
Density of states at the Fermi level (states/eV/f.u.): 3.9
Formation energy from raw total energies (meV per atom): 67
Symmetry: Pm-3m, No. 221
Energy (eV/f.u.): -43.0

Lattice parameters (Å, degrees): 4.2707 4.2707 4.2707 90.00 90.00 90.00
With the nearest neighbours (Å) after each atom.
Atoms (fractional coordinates):
Nb (0.0000, 0.0000, 0.5000)  2 F 2.14
Nb (0.0000, 0.5000, 0.0000)  2 F 2.14
Nb (0.5000, 0.0000, 0.0000)  2 F 2.14
F (0.0000, 0.0000, 0.0000)  6 Nb 2.14
Os (0.5000, 0.5000, 0.5000)  12 Nb 3.02